Tm2Ru2C3: optimized geometry, PBE-GGA.

Results
Spin magnetization: 0.00 μB per formula unit
DFT formation energy: -198 meV/atom
Fermi-level density of states: 6.7 states/eV per cell

```
data_Tm2Ru2C3
_chemical_formula_sum 'Tm4 Ru4 C6'
_cell_length_a 10.6036
_cell_length_b 3.4129
_cell_length_c 5.6570
_cell_angle_alpha 90.00
_cell_angle_beta 106.85
_cell_angle_gamma 90.00
_symmetry_space_group_name_H-M 'C 1 2/m 1'
_symmetry_Int_Tables_number 12
_symmetry_space_group_name_Hall '-C 2y'
loop_
_atom_site_label
_atom_site_fract_x
_atom_site_fract_y
_atom_site_fract_z
_atom_site_occupancy
Tm1 0.1137 0.0000 0.3227 1
Ru1 0.1540 0.5000 0.8818 1
C1 0.0000 0.5000 0.0000 1
C2 0.2240 0.0000 0.7514 1
```